A plane-wave DFT calculation with GGA-PBEsol was carried out for a relaxed structure of Ba2La3Ti3NbO15.

Cell lengths 5.6096, 5.6096, 23.0270 Å; angles 90.00, 90.00, 120.00 degrees
Space group P3c1 (No. 158)
Unique sites:
Ba (0.0000, 0.0000, 0.0000) x2
Ba (0.3333, 0.6667, 0.4277) x2
La (0.0000, 0.0000, 0.3262) x2
La (0.3333, 0.6667, 0.1135) x2
La (0.6667, 0.3333, 0.2187) x2
Ti (0.0000, 0.0000, 0.1695) x2
Ti (0.3333, 0.6667, 0.2682) x2
Ti (0.6667, 0.3333, 0.3700) x2
Nb (0.6667, 0.3333, 0.0638) x2
O (0.0113, 0.4696, 0.0277) x6
O (0.1064, 0.3342, 0.2153) x6
O (0.3306, 0.1375, 0.4044) x6
O (0.3382, 0.1073, 0.6251) x6
O (0.4471, 0.0033, 0.8077) x6

Properties
- ΔE_f (raw) (eV/atom) = -3.22



A plane-wave DFT calculation with GGA-PBEsol was carried out for a relaxed structure of KLiLa2.

Cell lengths 5.0567, 5.0567, 11.0858 Å; angles 90.00, 90.00, 90.00 degrees
Space group I-4m2 (No. 119)
Unique sites:
K (0.0000, 0.0000, 0.0000) x2
Li (0.0000, 0.5000, 0.7500) x2
La (0.0000, 0.0000, 0.5000) x2
La (0.0000, 0.5000, 0.2500) x2

Properties
- relative energy among the computed polymorphs (meV/atom) = 212



A plane-wave DFT calculation with GGA-PBEsol was carried out for a relaxed structure of LiNi2Hg.

Cell lengths 3.6280, 3.6423, 7.7423 Å; angles 90.00, 90.00, 90.00 degrees
Space group Immm (No. 71)
Unique sites:
Li (0.0000, 0.0000, 0.0000) x2
Ni (0.0000, 0.5000, 0.2503) x4
Hg (0.0000, 0.0000, 0.5000) x2



A plane-wave DFT calculation with GGA-PBEsol was carried out for a relaxed structure of ReAu2Br.

Cell lengths 6.4755, 6.4755, 6.4755 Å; angles 90.00, 90.00, 90.00 degrees
Space group F-43m (No. 216)
Unique sites:
Re (0.0000, 0.0000, 0.0000) x4
Au (0.0000, 0.0000, 0.5000) x4
Au (0.2500, 0.2500, 0.7500) x4
Br (0.2500, 0.2500, 0.2500) x4

Properties
- relative energy among the computed polymorphs (meV/atom) = 448
- ΔE_f (raw) (eV/atom) = 1.09



| no. | final energy (eV/f.u.) |
| --- | --- |
| 1 | -212.03 |
| 2 | -11.67 |
| 3 | -14.85 |
| 4 | -18.69 |